1.
# Ac3Zn4Rh4

Crystalline Ac3Zn4Rh4 at its relaxed geometry (PBE, Alexandria via LeMat-Bulk).

Cell lengths 4.276, 7.414, 14.663 Å; angles 90.00, 90.00, 90.00 degrees
Space group Immm (No. 71)
Asymmetric unit:
Ac1 0.000 0.000 0.000 (multiplicity 2)
Ac2 0.000 0.500 0.126 (multiplicity 4)
Zn1 0.000 0.317 0.328 (multiplicity 8)
Rh1 0.000 0.000 0.222 (multiplicity 4)
Rh2 0.000 0.194 0.500 (multiplicity 4)

Final energy   -4.811 eV/atom
Size of the total moment   0.00 μB/f.u.
Energy relative to the elements   -554 meV per atom
DOS at the Fermi energy   0.4745 states/eV per atom

2.
# Ac4Zn5Rh2

Crystalline Ac4Zn5Rh2 at its relaxed geometry (PBE, Alexandria via LeMat-Bulk).

Cell lengths 7.333, 4.115, 9.540 Å; angles 90.00, 94.30, 90.00 degrees
Space group P2/m (No. 10)
Asymmetric unit:
Ac1 0.177 0.000 0.362 (multiplicity 2)
Ac2 0.243 0.000 0.940 (multiplicity 2)
Zn1 0.202 0.500 0.659 (multiplicity 2)
Zn2 0.444 0.500 0.203 (multiplicity 2)
Zn3 0.500 0.500 0.500 (multiplicity 1)
Rh1 0.071 0.500 0.149 (multiplicity 2)

Final energy   -3.787 eV/atom
Size of the total moment   0.00 μB/f.u.
Energy relative to the elements   -377 meV per atom
DOS at the Fermi energy   0.7281 states/eV per atom